1.
The following is a DFT calculation (GGA-PBE) of Cs3TlCl4 after structural relaxation.

## Properties
VASP energy = -3.234 eV per atom
Formation energy from raw total energies = -1695.3 meV/atom
Energy relative to the lowest polymorph listed for this composition = 0.69 kcal/mol of atoms

abc: 6.962 9.997 11.759
angles: 90.00 90.00 90.00
Fractional positions:
Cl 0.115 0.822 0.500
Cl 0.059 0.859 0.000
Cl 0.559 0.676 0.259
Cl 0.559 0.141 0.500
Cl 0.615 0.178 0.000
Cl 0.559 0.676 0.741
Cl 0.059 0.324 0.759
Cl 0.059 0.324 0.241
Cs 0.059 0.671 0.754
Cs 0.059 0.671 0.246
Cs 0.059 0.156 0.500
Cs 0.559 0.329 0.254
Cs 0.559 0.329 0.746
Cs 0.559 0.844 0.000
Tl 0.047 0.175 0.000
Tl 0.547 0.825 0.500


2.
The following is a DFT calculation (GGA-PBE) of CsTl2Cl after structural relaxation.

## Properties
VASP energy = -2.547 eV per atom
Formation energy from raw total energies = -688.5 meV/atom
Energy relative to the lowest polymorph listed for this composition = 0.00 kcal/mol of atoms

abc: 4.685 4.685 15.975
angles: 81.57 81.57 90.00
Fractional positions:
Cs 0.000 0.000 0.000
Cs 0.750 0.250 0.500
Tl 0.375 0.382 0.750
Tl 0.875 0.868 0.750
Tl 0.618 0.125 0.250
Tl 0.132 0.625 0.250
Cl 0.500 0.500 0.000
Cl 0.250 0.750 0.500